No. 1
SrCu3Si after structural relaxation, computed with PBE-GGA.

Unit cell a=4.582 b=4.582 c=4.582 alpha=90.00 beta=90.00 gamma=90.00
Sites, in units of the cell vectors:
Sr  0.500  0.500  0.500
Si  0.000  0.000  0.000
Cu  0.000  0.500  0.000
Cu  0.000  0.000  0.500
Cu  0.500  0.000  0.000

Calculated values
Its uncorrected energy is -19.58 eV per cell. The density of states at the Fermi level comes out at 0.391 states/eV/atom. As for the space group: No. 221. The energy above the most stable polymorph in this dataset is 3.45 kcal/mol of atoms.

No. 2
SrCu6Si4 after structural relaxation, computed with PBE-GGA.

Unit cell a=3.986 b=6.842 c=6.842 alpha=120.00 beta=90.00 gamma=90.00
Sites, in units of the cell vectors:
Sr  0.000  0.000  0.000
Cu  0.000  0.537  0.073
Cu  0.500  0.584  0.792
Cu  0.000  0.537  0.463
Cu  0.000  0.927  0.463
Cu  0.500  0.208  0.792
Cu  0.500  0.208  0.416
Si  0.500  0.797  0.593
Si  0.500  0.407  0.203
Si  0.500  0.797  0.203
Si  0.000  0.333  0.667

Calculated values
Its uncorrected energy is -49.42 eV per cell. The density of states at the Fermi level comes out at 0.333 states/eV/atom. As for the space group: No. 187.

No. 3
Sr2Cu3Si2 after structural relaxation, computed with PBE-GGA.

Unit cell a=4.016 b=6.032 c=7.214 alpha=120.09 beta=90.00 gamma=109.44
Sites, in units of the cell vectors:
Sr  0.868  0.736  0.244
Sr  0.132  0.264  0.756
Cu  0.500  0.000  0.000
Cu  0.660  0.319  0.416
Cu  0.340  0.681  0.584
Si  0.863  0.726  0.795
Si  0.137  0.274  0.205

Calculated values
Its uncorrected energy is -28.10 eV per cell. The density of states at the Fermi level comes out at 0.486 states/eV/atom. As for the space group: No. 12.

No. 4
SrCu3Si after structural relaxation, computed with PBE-GGA.

Unit cell a=5.205 b=5.205 c=5.205 alpha=90.00 beta=90.00 gamma=90.00
Sites, in units of the cell vectors:
Sr  0.000  0.000  0.000
Si  0.500  0.500  0.500
Cu  0.000  0.500  0.000
Cu  0.000  0.000  0.500
Cu  0.500  0.000  0.000

Calculated values
Its uncorrected energy is -11.11 eV per cell. The density of states at the Fermi level comes out at 0.655 states/eV/atom. As for the space group: No. 221. The energy above the most stable polymorph in this dataset is 42.51 kcal/mol of atoms.

No. 5
SrCu9Si2 after structural relaxation, computed with PBE-GGA.

Unit cell a=6.482 b=7.927 c=7.927 alpha=80.38 beta=65.87 gamma=65.87
Sites, in units of the cell vectors:
Sr  0.500  0.000  0.000
Sr  0.250  0.500  0.500
Cu  0.750  0.500  0.500
Cu  0.000  0.000  0.000
Cu  0.023  0.918  0.670
Cu  0.611  0.082  0.330
Cu  0.691  0.170  0.582
Cu  0.443  0.830  0.418
Cu  0.727  0.830  0.582
Cu  0.139  0.170  0.418
Cu  0.059  0.918  0.330
Cu  0.307  0.082  0.670
Cu  0.727  0.582  0.830
Cu  0.139  0.418  0.170
Cu  0.059  0.330  0.918
Cu  0.307  0.670  0.082
Cu  0.023  0.670  0.918
Cu  0.611  0.330  0.082
Cu  0.691  0.582  0.170
Cu  0.443  0.418  0.830
Si  0.875  0.250  0.750
Si  0.875  0.750  0.250
Si  0.875  0.250  0.250
Si  0.375  0.750  0.750

Calculated values
Its uncorrected energy is -102.07 eV per cell. The density of states at the Fermi level comes out at 0.413 states/eV/atom. As for the space group: No. 141.

No. 6
Sr3Cu4Si2 after structural relaxation, computed with PBE-GGA.

Unit cell a=4.207 b=5.882 c=8.619 alpha=102.62 beta=90.00 gamma=110.95
Sites, in units of the cell vectors:
Sr  0.378  0.755  0.620
Sr  0.000  0.000  0.000
Sr  0.622  0.245  0.380
Cu  0.746  0.492  0.079
Cu  0.091  0.182  0.648
Cu  0.909  0.818  0.352
Cu  0.254  0.508  0.921
Si  0.318  0.636  0.216
Si  0.682  0.364  0.784

Calculated values
Its uncorrected energy is -34.54 eV per cell. The density of states at the Fermi level comes out at 0.339 states/eV/atom. As for the space group: No. 12.

No. 7
SrCu2Si2 after structural relaxation, computed with PBE-GGA.

Unit cell a=7.752 b=7.752 c=2.793 alpha=90.00 beta=90.00 gamma=90.00
Sites, in units of the cell vectors:
Sr  0.000  0.000  0.000
Sr  0.500  0.500  0.000
Si  0.156  0.656  0.500
Si  0.656  0.844  0.500
Si  0.844  0.344  0.500
Si  0.344  0.156  0.500
Cu  0.378  0.878  0.000
Cu  0.878  0.622  0.000
Cu  0.622  0.122  0.000
Cu  0.122  0.378  0.000

Calculated values
Its uncorrected energy is -40.58 eV per cell. The density of states at the Fermi level comes out at 0.388 states/eV/atom. As for the space group: No. 127.

No. 8
SrCu2Si after structural relaxation, computed with PBE-GGA.

Unit cell a=4.169 b=4.169 c=5.935 alpha=69.44 beta=69.44 gamma=60.03
Sites, in units of the cell vectors:
Sr  0.247  0.247  0.260
Si  0.440  0.440  0.679
Cu  0.058  0.058  0.825
Cu  0.754  0.754  0.737

Calculated values
Its uncorrected energy is -16.29 eV per cell. The density of states at the Fermi level comes out at 0.592 states/eV/atom. As for the space group: No. 160.

No. 9
SrCu3Si after structural relaxation, computed with PBE-GGA.

Unit cell a=4.536 b=4.536 c=11.394 alpha=101.48 beta=101.48 gamma=90.00
Sites, in units of the cell vectors:
Sr  0.000  0.000  0.000
Sr  0.250  0.750  0.500
Cu  0.626  0.875  0.750
Cu  0.125  0.876  0.250
Cu  0.125  0.374  0.250
Cu  0.124  0.875  0.750
Cu  0.381  0.381  0.761
Cu  0.619  0.619  0.239
Si  0.631  0.131  0.262
Si  0.869  0.369  0.738

Calculated values
Its uncorrected energy is -38.49 eV per cell. The density of states at the Fermi level comes out at 0.530 states/eV/atom. As for the space group: No. 119. The energy above the most stable polymorph in this dataset is 5.02 kcal/mol of atoms.

No. 10
SrCu2Si2 after structural relaxation, computed with PBE-GGA.

Unit cell a=4.151 b=4.151 c=5.974 alpha=69.67 beta=69.67 gamma=90.00
Sites, in units of the cell vectors:
Sr  0.000  0.000  0.000
Si  0.750  0.250  0.500
Si  0.250  0.750  0.500
Cu  0.370  0.370  0.260
Cu  0.630  0.630  0.740

Calculated values
Its uncorrected energy is -21.82 eV per cell. The density of states at the Fermi level comes out at 0.435 states/eV/atom. As for the space group: No. 139.